A plane-wave DFT calculation with PBEsol was carried out for a geometry-optimized NbCd3W structure.

V (Å³ per atom): 26.3
DFT total energy (eV per atom): -3.73
DFT formation energy (eV per formula unit): 9.567
Mass density (g/cm3): 7.8

abc: 5.0843 5.0843 5.0843
angles: 90.00 90.00 90.00
Space group Pm-3m (No. 221)
Unique sites:
Nb 0.0000 0.0000 0.0000
Cd 0.0000 0.5000 0.5000
W 0.5000 0.5000 0.5000